# 1
The following is a PBE calculation of crystalline TmThCoI at its relaxed geometry, from Alexandria via LeMat-Bulk.

Geometry as CIF:
```
data_TmThCoI
_cell_length_a 6.9375
_cell_length_b 4.0189
_cell_length_c 8.3389
_cell_angle_alpha 90.00
_cell_angle_beta 106.13
_cell_angle_gamma 90.00
_symmetry_space_group_name_H-M 'C 1 m 1'
_symmetry_Int_Tables_number 8
loop_
_symmetry_equiv_pos_as_xyz
'x,y,z'
'x,-y,z'
'x+1/2,y+1/2,z'
'x+1/2,-y+1/2,z'
loop_
_atom_site_label
_atom_site_fract_x
_atom_site_fract_y
_atom_site_fract_z
Tm1 0.0000 0.0000 0.0000
Th1 0.2200 0.0000 0.6563
Co1 0.1062 0.5000 0.8181
I1 0.2717 0.5000 0.3144
```

Output
- E_tot: -0.421 Ry/atom

---

# 2
The following is a PBE calculation of crystalline CsRb2HfBr6 at its relaxed geometry, from Alexandria via LeMat-Bulk.

Geometry as CIF:
```
data_CsRb2HfBr6
_cell_length_a 7.8122
_cell_length_b 7.8122
_cell_length_c 52.3179
_cell_angle_alpha 90.00
_cell_angle_beta 90.00
_cell_angle_gamma 120.00
_symmetry_space_group_name_H-M 'R -3 m'
_symmetry_Int_Tables_number 166
_symmetry_space_group_name_Hall '-R 3 2"'
loop_
_atom_site_label
_atom_site_fract_x
_atom_site_fract_y
_atom_site_fract_z
Cs1 0.0000 0.0000 0.0842
Rb1 0.0000 0.0000 0.1864
Rb2 0.0000 0.0000 0.3535
Hf1 0.0000 0.0000 0.0000
Hf2 0.0000 0.0000 0.5000
Br1 0.0087 0.5043 0.6368
Br2 0.0124 0.5062 0.1968
```

Output
- E_tot: -0.279 Ry/atom

---

# 3
The following is a PBE calculation of crystalline Nd2ErGe2 at its relaxed geometry, from Alexandria via LeMat-Bulk.

Geometry as CIF:
```
data_Nd2ErGe2
_cell_length_a 12.4818
_cell_length_b 4.4312
_cell_length_c 10.8004
_cell_angle_alpha 90.00
_cell_angle_beta 116.75
_cell_angle_gamma 90.00
_symmetry_space_group_name_H-M 'C 1 2/m 1'
_symmetry_Int_Tables_number 12
loop_
_symmetry_equiv_pos_as_xyz
'x,y,z'
'-x,-y,-z'
'-x,y,-z'
'x,-y,z'
'x+1/2,y+1/2,z'
'-x+1/2,-y+1/2,-z'
'-x+1/2,y+1/2,-z'
'x+1/2,-y+1/2,z'
loop_
_atom_site_label
_atom_site_fract_x
_atom_site_fract_y
_atom_site_fract_z
Nd1 0.0155 0.0000 0.1871
Nd2 0.1796 0.0000 0.5898
Er1 0.2223 0.5000 0.8645
Ge1 0.0167 0.5000 0.3901
Ge2 0.1176 0.5000 0.0609
```

Output
- E_tot: -0.396 Ry/atom
- E_form: -0.717 eV/atom

---

# 4
The following is a PBE calculation of crystalline MgPa2CrN5 at its relaxed geometry, from Alexandria via LeMat-Bulk.

Geometry as CIF:
```
data_MgPa2CrN5
_cell_length_a 3.3194
_cell_length_b 13.2053
_cell_length_c 9.6787
_cell_angle_alpha 90.00
_cell_angle_beta 90.00
_cell_angle_gamma 90.00
_symmetry_space_group_name_H-M 'C m c 21'
_symmetry_Int_Tables_number 36
loop_
_symmetry_equiv_pos_as_xyz
'x,y,z'
'-x,-y,z+1/2'
'-x,y,z'
'x,-y,z+1/2'
'x+1/2,y+1/2,z'
'-x+1/2,-y+1/2,z+1/2'
'-x+1/2,y+1/2,z'
'x+1/2,-y+1/2,z+1/2'
loop_
_atom_site_label
_atom_site_fract_x
_atom_site_fract_y
_atom_site_fract_z
Mg1 0.0000 0.2061 0.0000
Pa1 0.0000 0.1141 0.6863
Pa2 0.0000 0.1444 0.2985
Cr1 0.0000 0.4755 0.4636
N1 0.0000 0.0449 0.0415
N2 0.0000 0.2850 0.6657
N3 0.0000 0.3216 0.3540
N4 0.0000 0.3691 0.0010
N5 0.0000 0.4867 0.7775
```

Output
- E_tot: -0.671 Ry/atom

---

Which of these has the highest E_tot? CsRb2HfBr6

---

Which formula does entry 2 have? CsRb2HfBr6

---

Among the records above, which one has the highest E_tot? CsRb2HfBr6

---

Repeat the second record exactly.
The following is a PBE calculation of crystalline CsRb2HfBr6 at its relaxed geometry, from Alexandria via LeMat-Bulk.

Geometry as CIF:
```
data_CsRb2HfBr6
_cell_length_a 7.8122
_cell_length_b 7.8122
_cell_length_c 52.3179
_cell_angle_alpha 90.00
_cell_angle_beta 90.00
_cell_angle_gamma 120.00
_symmetry_space_group_name_H-M 'R -3 m'
_symmetry_Int_Tables_number 166
_symmetry_space_group_name_Hall '-R 3 2"'
loop_
_atom_site_label
_atom_site_fract_x
_atom_site_fract_y
_atom_site_fract_z
Cs1 0.0000 0.0000 0.0842
Rb1 0.0000 0.0000 0.1864
Rb2 0.0000 0.0000 0.3535
Hf1 0.0000 0.0000 0.0000
Hf2 0.0000 0.0000 0.5000
Br1 0.0087 0.5043 0.6368
Br2 0.0124 0.5062 0.1968
```

Output
- E_tot: -0.279 Ry/atom